Below is crystalline Mn17Be12 at its relaxed geometry, with properties calculated at the PBE level.

Values from the calculation:
E_tot: -7.05 eV/atom
Size of the total moment: 8.8 Bohr magnetons per cell
V: 550 Å³/cell

Unit cell a=8.193 b=8.193 c=8.193 alpha=90.00 beta=90.00 gamma=90.00
Space group I-43m (No. 217)
Unique sites:
Mn  0.000  0.000  0.000 [2 per cell]
Mn  0.047  0.365  0.635 [24 per cell]
Mn  0.184  0.184  0.184 [8 per cell]
Be  0.091  0.091  0.727 [24 per cell]



Below is crystalline Mn3Be at its relaxed geometry, with properties calculated at the PBE level.

Values from the calculation:
E_tot: -7.73 eV/atom
Size of the total moment: 3.0 Bohr magnetons per cell
V: 41 Å³/cell

Unit cell a=3.450 b=3.450 c=3.450 alpha=90.00 beta=90.00 gamma=90.00
Space group Pm-3m (No. 221)
Unique sites:
Mn  0.000  0.000  0.500 [3 per cell]
Be  0.500  0.500  0.500 [1 per cell]



Below is crystalline MnBe at its relaxed geometry, with properties calculated at the PBE level.

Values from the calculation:
E_tot: -6.46 eV/atom
Size of the total moment: 1.1 Bohr magnetons per cell
V: 76 Å³/cell

Unit cell a=7.665 b=2.444 c=4.093 alpha=90.00 beta=98.90 gamma=90.00
Space group C2/m (No. 12)
Unique sites:
Mn  0.121  0.000  0.388 [4 per cell]
Be  0.126  0.500  0.897 [4 per cell]



Below is crystalline MnBe2 at its relaxed geometry, with properties calculated at the PBE level.

Values from the calculation:
E_tot: -5.79 eV/atom
Size of the total moment: 3.9 Bohr magnetons per cell
V: 201 Å³/cell

Unit cell a=5.863 b=5.863 c=5.863 alpha=90.00 beta=90.00 gamma=90.00
Space group Fd-3m (No. 227, origin choice 2)
Unique sites:
Mn  0.125  0.125  0.125 [8 per cell]
Be  0.000  0.000  0.500 [16 per cell]



Below is crystalline MnBe2 at its relaxed geometry, with properties calculated at the PBE level.

Values from the calculation:
E_tot: -5.55 eV/atom
Size of the total moment: 0.0 Bohr magnetons per cell
V: 106 Å³/cell

Unit cell a=2.363 b=11.675 c=3.846 alpha=90.00 beta=90.00 gamma=90.00
Space group Cmcm (No. 63)
Unique sites:
Mn  0.000  0.091  0.250 [4 per cell]
Be  0.000  0.237  0.750 [4 per cell]
Be  0.000  0.419  0.250 [4 per cell]



Below is crystalline MnBe at its relaxed geometry, with properties calculated at the PBE level.

Values from the calculation:
E_tot: -6.53 eV/atom
Size of the total moment: 0.0 Bohr magnetons per cell
V: 74 Å³/cell

Unit cell a=7.718 b=2.885 c=3.674 alpha=90.00 beta=115.77 gamma=90.00
Space group C2/m (No. 12)
Unique sites:
Mn  0.122  0.000  0.381 [4 per cell]
Be  0.136  0.500  0.899 [4 per cell]



Below is crystalline Mn5Be4 at its relaxed geometry, with properties calculated at the PBE level.

Values from the calculation:
E_tot: -6.73 eV/atom
Size of the total moment: 1.8 Bohr magnetons per cell
V: 176 Å³/cell

Unit cell a=7.765 b=7.765 c=2.924 alpha=90.00 beta=90.00 gamma=90.00
Space group I4/mmm (No. 139)
Unique sites:
Mn  0.000  0.000  0.000 [2 per cell]
Mn  0.173  0.173  0.500 [8 per cell]
Be  0.000  0.336  0.000 [8 per cell]



Below is crystalline MnBe2 at its relaxed geometry, with properties calculated at the PBE level.

Values from the calculation:
E_tot: -5.19 eV/atom
Size of the total moment: 0.5 Bohr magnetons per cell
V: 35 Å³/cell

Unit cell a=4.056 b=4.056 c=2.141 alpha=90.00 beta=90.00 gamma=90.00
Space group P4/mmm (No. 123)
Unique sites:
Mn  0.000  0.000  0.000 [1 per cell]
Be  0.000  0.500  0.500 [2 per cell]